NaOF5 | PBE | relaxed

Calculated values
total moment = 4.03 μB/cell
formation energy (no corrections) = -0.536 eV/atom
SG = No. 44
total energy = -38.77 eV for the cell shown

a b c (Å): 6.0322 7.8788 4.3297
angles (deg): 90.00 90.00 90.00
Closest atoms and distances in Å follow each position.
Sites, in units of the cell vectors:
Na (0.0000, 0.0000, 0.0000)  4 F 2.26-2.37
Na (0.5000, 0.5000, 0.5000)  4 F 2.26-2.37
O (0.0000, 0.5000, 0.0082)  1 F 1.39
O (0.5000, 0.0000, 0.5082)  1 F 1.39
F (0.0000, 0.2511, 0.7473)  1 Na 2.26, 1 O 2.26
F (0.0000, 0.5000, 0.3284)  1 O 1.39
F (0.0000, 0.7489, 0.7473)  1 Na 2.26, 1 O 2.26
F (0.2083, 0.0000, 0.4654)  1 O 1.77
F (0.2917, 0.5000, 0.9654)  1 O 1.77
F (0.5000, 0.0000, 0.8284)  1 O 1.39
F (0.5000, 0.2489, 0.2473)  1 Na 2.26, 1 O 2.26
F (0.5000, 0.7511, 0.2473)  1 Na 2.26, 1 O 2.26
F (0.7083, 0.5000, 0.9654)  1 O 1.77
F (0.7917, 0.0000, 0.4654)  1 O 1.77

Er2AlAg | PBE | relaxed

Calculated values
total moment = 0.00 μB/cell
SG = No. 123
ΔH_f (0 K) = -368 meV/atom
total energy = -17.19 eV for the cell shown

a b c (Å): 3.5225 3.5225 7.4819
angles (deg): 90.00 90.00 90.00
Closest atoms and distances in Å follow each position.
Sites, in units of the cell vectors:
Er (0.0000, 0.0000, 0.2493)  4 Ag 3.11, 4 Al 3.12
Er (0.0000, 0.0000, 0.7507)  4 Ag 3.11, 4 Al 3.12
Al (0.5000, 0.5000, 0.5000)  8 Er 3.12
Ag (0.5000, 0.5000, 0.0000)  8 Er 3.11

SrCu3Se | PBE | relaxed

Calculated values
total moment = 0.00 μB/cell
formation energy (no corrections) = 0.182 eV/atom
SG = No. 221
energy above the most stable polymorph in this dataset = 0 meV/atom
total energy = -16.54 eV for the cell shown

a b c (Å): 4.8116 4.8116 4.8116
angles (deg): 90.00 90.00 90.00
Closest atoms and distances in Å follow each position.
Sites, in units of the cell vectors:
Sr (0.0000, 0.0000, 0.0000)  12 Cu 3.40
Cu (0.0000, 0.5000, 0.5000)  2 Se 2.41
Cu (0.5000, 0.0000, 0.5000)  2 Se 2.41
Cu (0.5000, 0.5000, 0.0000)  2 Se 2.41
Se (0.5000, 0.5000, 0.5000)  6 Cu 2.41

CaAc2Be2N4 | PBE | relaxed

Calculated values
total moment = 0.00 μB/cell
formation energy (no corrections) = -0.871 eV/atom
SG = No. 12
total energy = -58.82 eV for the cell shown

a b c (Å): 6.6928 6.6928 6.2462
angles (deg): 109.57 109.57 28.89
Closest atoms and distances in Å follow each position.
Sites, in units of the cell vectors:
Ca (0.0000, 0.0000, 0.0000)  6 N 2.46-2.58
Ac (0.1364, 0.1364, 0.5857)  4 N 2.48-2.68
Ac (0.8636, 0.8636, 0.4143)  4 N 2.48-2.68
Be (0.3209, 0.3209, 0.0154)  4 N 1.77-1.91
Be (0.6791, 0.6791, 0.9846)  4 N 1.77-1.91
N (0.2119, 0.2119, 0.1437)  3 Be 1.85-1.91
N (0.4508, 0.4508, 0.2373)  1 Be 1.77
N (0.5492, 0.5492, 0.7627)  1 Be 1.77
N (0.7881, 0.7881, 0.8563)  3 Be 1.85-1.91

ErLuCoPd | PBE | relaxed

Calculated values
total moment = 0.03 μB/cell
SG = No. 216
ΔH_f (0 K) = -561 meV/atom
total energy = -94.51 eV for the cell shown

a b c (Å): 6.7476 6.7476 6.7476
angles (deg): 90.00 90.00 90.00
Closest atoms and distances in Å follow each position.
Sites, in units of the cell vectors:
Er (0.0000, 0.0000, 0.0000)  4 Co 2.92, 4 Pd 2.92
Er (0.0000, 0.5000, 0.5000)  4 Co 2.92, 4 Pd 2.92
Er (0.5000, 0.0000, 0.5000)  4 Co 2.92, 4 Pd 2.92
Er (0.5000, 0.5000, 0.0000)  4 Co 2.92, 4 Pd 2.92
Lu (0.0000, 0.0000, 0.5000)  4 Co 2.92, 4 Pd 2.92
Lu (0.0000, 0.5000, 0.0000)  4 Co 2.92, 4 Pd 2.92
Lu (0.5000, 0.0000, 0.0000)  4 Co 2.92, 4 Pd 2.92
Lu (0.5000, 0.5000, 0.5000)  4 Co 2.92, 4 Pd 2.92
Co (0.2500, 0.2500, 0.2500)  4 Er 2.92, 4 Lu 2.92
Co (0.2500, 0.7500, 0.7500)  4 Er 2.92, 4 Lu 2.92
Co (0.7500, 0.2500, 0.7500)  4 Er 2.92, 4 Lu 2.92
Co (0.7500, 0.7500, 0.2500)  4 Er 2.92, 4 Lu 2.92
Pd (0.2500, 0.2500, 0.7500)  4 Er 2.92, 4 Lu 2.92
Pd (0.2500, 0.7500, 0.2500)  4 Er 2.92, 4 Lu 2.92
Pd (0.7500, 0.2500, 0.2500)  4 Er 2.92, 4 Lu 2.92
Pd (0.7500, 0.7500, 0.7500)  4 Er 2.92, 4 Lu 2.92

MnV3Co7 | PBE | relaxed

Calculated values
total moment = 5.74 μB/cell
SG = No. 12
ΔH_f (0 K) = 287 meV/atom
total energy = -83.11 eV for the cell shown

a b c (Å): 5.7407 5.7407 4.4951
angles (deg): 106.03 106.03 93.92
Closest atoms and distances in Å follow each position.
Sites, in units of the cell vectors:
Mn (0.0000, 0.0000, 0.0000)  4 Co 2.25-2.41
V (0.2700, 0.7300, 0.5000)  7 Co 2.27-2.38
V (0.5000, 0.5000, 0.0000)  6 Co 2.30-2.42
V (0.7300, 0.2700, 0.5000)  7 Co 2.27-2.38
Co (0.0000, 0.0000, 0.5000)  2 Mn 2.25, 2 V 2.27
Co (0.0953, 0.5444, 0.8174)  3 V 2.30-2.38, 1 Co 2.35
Co (0.3128, 0.3128, 0.4198)  3 V 2.36-2.42, 1 Mn 2.41, 5 Co 2.58-2.62
Co (0.4556, 0.9047, 0.1826)  3 V 2.30-2.38, 1 Co 2.35
Co (0.5444, 0.0953, 0.8174)  3 V 2.30-2.38, 1 Co 2.35
Co (0.6872, 0.6872, 0.5802)  3 V 2.36-2.42, 1 Mn 2.41, 5 Co 2.58-2.62
Co (0.9047, 0.4556, 0.1826)  3 V 2.30-2.38, 1 Co 2.35

Tb8CuSn2 | PBE | relaxed

Calculated values
total moment = 0.00 μB/cell
SG = No. 12
ΔH_f (0 K) = -306 meV/atom
total energy = -52.51 eV for the cell shown

a b c (Å): 9.9174 9.9174 6.7269
angles (deg): 103.86 103.86 29.24
Closest atoms and distances in Å follow each position.
Sites, in units of the cell vectors:
Tb (0.0171, 0.0171, 0.2825)  2 Cu 2.96, 1 Tb 3.15, 1 Sn 3.20
Tb (0.2156, 0.2156, 0.8170)  3 Sn 3.19-3.30, 4 Tb 3.34-3.53
Tb (0.3517, 0.3517, 0.5015)  1 Cu 2.85, 2 Sn 3.13
Tb (0.4080, 0.4080, 0.0281)  1 Cu 3.23, 2 Sn 3.36, 5 Tb 3.44-3.61
Tb (0.5920, 0.5920, 0.9719)  1 Cu 3.23, 2 Sn 3.36, 5 Tb 3.44-3.61
Tb (0.6483, 0.6483, 0.4985)  1 Cu 2.85, 2 Sn 3.13
Tb (0.7844, 0.7844, 0.1830)  3 Sn 3.19-3.30, 4 Tb 3.34-3.53
Tb (0.9829, 0.9829, 0.7175)  2 Cu 2.96, 1 Tb 3.15, 1 Sn 3.20
Cu (0.5000, 0.5000, 0.5000)  6 Tb 2.85-2.96
Sn (0.1816, 0.1816, 0.2572)  9 Tb 3.13-3.36
Sn (0.8184, 0.8184, 0.7428)  9 Tb 3.13-3.36

LaEuMg4 | PBE | relaxed

Calculated values
total moment = 7.14 μB/cell
SG = No. 216
ΔH_f (0 K) = -117 meV/atom
total energy = -22.28 eV for the cell shown

a b c (Å): 6.2395 6.2395 6.2395
angles (deg): 60.00 60.00 60.00
Closest atoms and distances in Å follow each position.
Sites, in units of the cell vectors:
La (0.0000, 0.0000, 0.0000)  12 Mg 3.66, 4 Eu 3.82
Eu (0.2500, 0.2500, 0.2500)  12 Mg 3.66, 4 La 3.82
Mg (0.1227, 0.6258, 0.6258)  6 Mg 3.10-3.14
Mg (0.6258, 0.1227, 0.6258)  6 Mg 3.10-3.14
Mg (0.6258, 0.6258, 0.1227)  6 Mg 3.10-3.14
Mg (0.6258, 0.6258, 0.6258)  6 Mg 3.10-3.14

K3Ag2GeBr9 | PBE | relaxed

Calculated values
total moment = 0.00 μB/cell
formation energy (no corrections) = -0.909 eV/atom
SG = No. 164
total energy = -42.31 eV for the cell shown

a b c (Å): 7.6615 7.6615 9.4728
angles (deg): 90.00 90.00 120.00
Closest atoms and distances in Å follow each position.
Sites, in units of the cell vectors:
K (0.0000, 0.0000, 0.0000)  12 Br 3.83-3.87
K (0.3333, 0.6667, 0.7038)  9 Br 3.57-3.85
K (0.6667, 0.3333, 0.2962)  9 Br 3.57-3.85
Ag (0.3333, 0.6667, 0.1684)  6 Br 2.73-2.80
Ag (0.6667, 0.3333, 0.8316)  6 Br 2.73-2.80
Ge (0.0000, 0.0000, 0.5000)  6 Br 2.63
Br (0.0000, 0.5000, 0.0000)  2 Ag 2.73
Br (0.1618, 0.3237, 0.3401)  1 Ge 2.63, 1 Ag 2.80
Br (0.1618, 0.8382, 0.3401)  1 Ge 2.63, 1 Ag 2.80
Br (0.3237, 0.1618, 0.6599)  1 Ge 2.63, 1 Ag 2.80
Br (0.5000, 0.0000, 0.0000)  2 Ag 2.73
Br (0.5000, 0.5000, 0.0000)  2 Ag 2.73
Br (0.6763, 0.8382, 0.3401)  1 Ge 2.63, 1 Ag 2.80
Br (0.8382, 0.1618, 0.6599)  1 Ge 2.63, 1 Ag 2.80
Br (0.8382, 0.6763, 0.6599)  1 Ge 2.63, 1 Ag 2.80

ZnCu2HPd | PBE | relaxed

Calculated values
total moment = 0.00 μB/cell
SG = No. 123
energy above the most stable polymorph in this dataset = 0 meV/atom
total energy = -18.63 eV for the cell shown

a b c (Å): 3.8124 3.8124 3.8703
angles (deg): 90.00 90.00 90.00
Closest atoms and distances in Å follow each position.
Sites, in units of the cell vectors:
Zn (0.0000, 0.0000, 0.0000)  4 Pd 2.70, 8 Cu 2.72
Cu (0.0000, 0.5000, 0.5000)  2 H 1.91
Cu (0.5000, 0.0000, 0.5000)  2 H 1.91
H (0.5000, 0.5000, 0.5000)  4 Cu 1.91, 2 Pd 1.94
Pd (0.5000, 0.5000, 0.0000)  2 H 1.94

RbTe2Pb2 | PBE | relaxed

Calculated values
total moment = 0.00 μB/cell
formation energy (no corrections) = -0.397 eV/atom
SG = No. 15
energy above the most stable polymorph in this dataset = 84 meV/atom
total energy = -33.30 eV for the cell shown

a b c (Å): 8.8148 8.8148 8.1131
angles (deg): 117.39 117.39 98.54
Closest atoms and distances in Å follow each position.
Sites, in units of the cell vectors:
Rb (0.1248, 0.8752, 0.7500)  6 Te 3.73-4.10, 2 Pb 4.17
Rb (0.8752, 0.1248, 0.2500)  6 Te 3.73-4.10, 2 Pb 4.17
Te (0.1554, 0.8446, 0.2500)  4 Pb 3.18-3.34
Te (0.4042, 0.5958, 0.7500)  4 Pb 3.18-3.34
Te (0.5958, 0.4042, 0.2500)  4 Pb 3.18-3.34
Te (0.8446, 0.1554, 0.7500)  4 Pb 3.18-3.34
Pb (0.2379, 0.4860, 0.9756)  1 Pb 3.16, 4 Te 3.18-3.34
Pb (0.4860, 0.2379, 0.4756)  1 Pb 3.16, 4 Te 3.18-3.34
Pb (0.5140, 0.7621, 0.5244)  1 Pb 3.16, 4 Te 3.18-3.34
Pb (0.7621, 0.5140, 0.0244)  1 Pb 3.16, 4 Te 3.18-3.34

Sb | PBE | relaxed

Calculated values
total moment = 0.00 μB/cell
formation energy (no corrections) = 0.181 eV/atom
SG = No. 176
energy above the most stable polymorph in this dataset = 181 meV/atom
total energy = -47.30 eV for the cell shown

a b c (Å): 9.3486 9.3486 6.3142
angles (deg): 90.00 90.00 120.00
Closest atoms and distances in Å follow each position.
Sites, in units of the cell vectors:
Sb (0.0239, 0.6656, 0.2500)  4 Sb 2.87-3.18
Sb (0.0263, 0.3564, 0.2500)  4 Sb 2.87-3.18
Sb (0.3302, 0.9737, 0.2500)  4 Sb 2.87-3.18
Sb (0.3344, 0.3583, 0.2500)  4 Sb 2.87-3.18
Sb (0.3564, 0.3302, 0.7500)  4 Sb 2.87-3.18
Sb (0.3583, 0.0239, 0.7500)  4 Sb 2.87-3.18
Sb (0.6417, 0.9761, 0.2500)  4 Sb 2.87-3.18
Sb (0.6436, 0.6698, 0.2500)  4 Sb 2.87-3.18
Sb (0.6656, 0.6417, 0.7500)  4 Sb 2.87-3.18
Sb (0.6698, 0.0263, 0.7500)  4 Sb 2.87-3.18
Sb (0.9737, 0.6436, 0.7500)  4 Sb 2.87-3.18
Sb (0.9761, 0.3344, 0.7500)  4 Sb 2.87-3.18